one) Crystalline CaErGaGe at its relaxed geometry, computed with GGA-PBE.

symmetry: F-43m
V: 23.2 Å³ per atom

Geometry as extended XYZ:
```
4
Lattice="-4.989 -0.005 -0.953 -1.752 -1.950 -4.350 -2.588 -4.370 0.037" Properties=species:S:1:pos:R:3 pbc="T T T"
Ge -2.332 -1.581 -1.317
Ca -4.664 -3.163 -2.633
Ga -6.997 -4.744 -3.950
Er 0.000 0.000 0.000
```

***

two) Crystalline CaErGaGe at its relaxed geometry, computed with GGA-PBE.

symmetry: Amm2
V: 24.0 Å³ per atom

Geometry as extended XYZ:
```
4
Lattice="-3.419 -2.527 1.009 0.732 -2.289 -3.250 4.944 -1.925 2.469" Properties=species:S:1:pos:R:3 pbc="T T T"
Ca 0.911 -0.898 0.838
Er 1.007 -4.725 1.041
Ga -0.855 -2.889 -0.671
Ge 2.718 -2.679 2.499
```

***

Which structure wins on stability? two) wins.

***

one) Crystalline CaGd2Er at its relaxed geometry, computed with GGA-PBE.

symmetry: P4/mmm
V: 33.9 Å³ per atom

Geometry as extended XYZ:
```
4
Lattice="3.618 0.000 0.000 0.000 3.618 0.000 0.000 0.000 10.355" Properties=species:S:1:pos:R:3 pbc="T T T"
Ca 1.809 1.809 5.177
Gd 0.000 0.000 7.976
Gd 0.000 0.000 2.378
Er 1.809 1.809 0.000
```

***

two) Crystalline CaGd2Er at its relaxed geometry, computed with GGA-PBE.

symmetry: Fm-3m
V: 33.5 Å³ per atom

Geometry as extended XYZ:
```
4
Lattice="5.745 0.000 0.000 2.873 4.975 0.000 2.873 1.658 4.691" Properties=species:S:1:pos:R:3 pbc="T T T"
Ca 5.745 3.317 2.345
Gd 2.873 1.658 1.173
Gd 8.618 4.975 3.518
Er 0.000 0.000 0.000
```

***

Which structure wins on stability? one) wins.

***

one) Crystalline CaGd2Er at its relaxed geometry, computed with GGA-PBE.

symmetry: P4/mmm
V: 33.7 Å³ per atom

Geometry as extended XYZ:
```
4
Lattice="5.104 0.000 0.000 0.000 5.143 0.000 0.000 0.000 5.143" Properties=species:S:1:pos:R:3 pbc="T T T"
Ca 2.552 0.000 0.000
Gd 0.000 0.000 2.571
Gd 0.000 2.571 0.000
Er 2.552 2.571 2.571
```

***

two) Crystalline CaGd2Er at its relaxed geometry, computed with GGA-PBE.

symmetry: R-3m
V: 34.2 Å³ per atom

Geometry as extended XYZ:
```
4
Lattice="-2.083 -1.156 2.635 -3.190 -1.382 -0.733 3.385 -12.224 -0.293" Properties=species:S:1:pos:R:3 pbc="T T T"
Ca 0.000 0.000 0.000
Gd 1.978 -9.112 -0.040
Gd -3.867 -5.651 1.649
Er -0.944 -7.381 0.805
```

***

Which structure wins on stability? one) wins.

***

one) Crystalline CaGdEr2 at its relaxed geometry, computed with GGA-PBE.

symmetry: P4/mmm
V: 33.3 Å³ per atom

Geometry as extended XYZ:
```
4
Lattice="3.605 0.000 0.000 0.000 3.605 0.000 0.000 0.000 10.260" Properties=species:S:1:pos:R:3 pbc="T T T"
Ca 1.803 1.803 5.130
Gd 1.803 1.803 0.000
Er 0.000 0.000 7.890
Er 0.000 0.000 2.370
```

***

two) Crystalline CaGdEr2 at its relaxed geometry, computed with GGA-PBE.

symmetry: P4/mmm
V: 33.0 Å³ per atom

Geometry as extended XYZ:
```
4
Lattice="5.103 0.000 0.000 0.000 5.089 0.000 0.000 0.000 5.089" Properties=species:S:1:pos:R:3 pbc="T T T"
Ca 2.552 0.000 0.000
Gd 2.552 2.544 2.544
Er 0.000 0.000 2.544
Er 0.000 2.544 0.000
```

***

Which structure wins on stability? one) wins.

***

one) Crystalline Ca2GdEr at its relaxed geometry, computed with GGA-PBE.

symmetry: P4/mmm
V: 36.0 Å³ per atom

Geometry as extended XYZ:
```
4
Lattice="-2.036 4.504 -2.288 -4.709 -2.057 0.142 -0.746 2.031 4.663" Properties=species:S:1:pos:R:3 pbc="T T T"
Ca -0.373 1.016 2.332
Ca -2.355 -1.029 0.071
Gd -3.746 2.239 1.259
Er -1.018 2.252 -1.144
```

***

two) Crystalline Ca2GdEr at its relaxed geometry, computed with GGA-PBE.

symmetry: Fm-3m
V: 35.4 Å³ per atom

Geometry as extended XYZ:
```
4
Lattice="-1.083 4.744 -3.248 -0.585 -0.497 -5.800 -5.251 0.709 -2.482" Properties=species:S:1:pos:R:3 pbc="T T T"
Ca -1.730 1.239 -2.883
Ca -5.189 3.718 -8.648
Gd -3.460 2.478 -5.765
Er 0.000 0.000 0.000
```

***

Which structure wins on stability? one) wins.

***

one) Crystalline CaEr2Hf at its relaxed geometry, computed with GGA-PBE.

symmetry: R-3m
V: 29.9 Å³ per atom

Geometry as extended XYZ:
```
4
Lattice="3.452 0.000 0.000 1.726 2.989 0.000 1.726 0.996 11.609" Properties=species:S:1:pos:R:3 pbc="T T T"
Ca 0.000 0.000 0.000
Hf 3.452 1.993 5.805
Er 1.726 0.996 3.227
Er 5.178 2.989 8.382
```

***

two) Crystalline CaEr2Hf at its relaxed geometry, computed with GGA-PBE.

symmetry: P4/mmm
V: 30.3 Å³ per atom

Geometry as extended XYZ:
```
4
Lattice="-3.358 0.272 0.757 -0.499 -3.253 -1.045 1.860 -3.315 9.434" Properties=species:S:1:pos:R:3 pbc="T T T"
Ca -0.998 -3.148 4.573
Hf -1.928 -1.491 -0.144
Er 1.463 -2.608 7.423
Er 0.396 -0.706 2.011
```

***

Which structure wins on stability? two) wins.

***

one) Crystalline CaErZnHg at its relaxed geometry, computed with GGA-PBE.

symmetry: P4mm
V: 24.8 Å³ per atom

Geometry as extended XYZ:
```
4
Lattice="-1.505 -0.521 3.319 1.459 -3.377 0.131 6.007 2.718 3.150" Properties=species:S:1:pos:R:3 pbc="T T T"
Ca 0.666 -1.637 2.087
Er 3.553 -0.331 3.600
Zn 2.269 1.027 1.190
Hg 5.048 2.284 2.647
```

***

two) Crystalline CaErZnHg at its relaxed geometry, computed with GGA-PBE.

symmetry: F-43m
V: 24.7 Å³ per atom

Geometry as extended XYZ:
```
4
Lattice="5.186 0.000 0.000 2.593 4.491 0.000 2.593 1.497 4.234" Properties=species:S:1:pos:R:3 pbc="T T T"
Zn 0.000 0.000 0.000
Ca 2.593 1.497 1.059
Hg 5.186 2.994 2.117
Er 7.779 4.491 3.176
```

***

Which structure wins on stability? one) wins.

***

one) Crystalline CaHoEr2 at its relaxed geometry, computed with GGA-PBE.

symmetry: Fm-3m
V: 32.8 Å³ per atom

Geometry as extended XYZ:
```
4
Lattice="-4.661 0.406 -3.258 -0.451 -3.144 -4.734 -3.716 -4.319 -0.211" Properties=species:S:1:pos:R:3 pbc="T T T"
Ca 0.000 0.000 0.000
Ho -4.414 -3.529 -4.102
Er -2.207 -1.764 -2.051
Er -6.620 -5.293 -6.152
```

***

two) Crystalline CaHoEr2 at its relaxed geometry, computed with GGA-PBE.

symmetry: P4/mmm
V: 32.5 Å³ per atom

Geometry as extended XYZ:
```
4
Lattice="-0.717 5.009 -0.359 -4.571 -0.503 2.109 2.046 0.622 4.585" Properties=species:S:1:pos:R:3 pbc="T T T"
Ca -0.358 2.504 -0.180
Ho -1.621 2.564 3.167
Er 1.023 0.311 2.292
Er -2.286 -0.252 1.054
```

***

Which structure wins on stability? two) wins.